This record from Alexandria describes a geometry-optimized RbCrCoF6 structure. The functional is PBE with a Hubbard U.

Geometry as POSCAR:
```
RbCrCoF6
1.0
7.4059 0.0000 0.0000
0.0000 7.3231 0.0000
-3.7030 -3.6615 5.2844
Rb Cr Co F
2 2 2 12
direct
0.8591 0.6091 0.7183 Rb
0.1409 0.3909 0.2817 Rb
0.5000 0.0000 0.5000 Cr
0.0000 0.0000 0.5000 Cr
0.5000 0.5000 0.0000 Co
0.5000 0.0000 0.0000 Co
0.4224 0.6724 0.8449 F
0.8121 0.0621 0.6243 F
0.8317 0.0690 0.2557 F
0.4240 0.6867 0.2557 F
0.4240 0.0690 0.2557 F
0.8317 0.6867 0.2557 F
0.5776 0.3276 0.1551 F
0.1879 0.9379 0.3757 F
0.1683 0.9310 0.7443 F
0.5760 0.3133 0.7443 F
0.5760 0.9310 0.7443 F
0.1683 0.3133 0.7443 F
```

Calculated values
- SG = Imma, No. 74
- DFT total energy (eV/atom) = -5.359